VASP calculation (PBE with a Hubbard U) on a geometry-optimized K2Cr2CuP2O14 structure.

Computed properties:
Total magnetization ... 1.13 μB per formula unit
SG ... P2_1/c (14)
VASP energy ... -6.32 eV/atom
Crystal system ... monoclinic

Cell: 9.776 7.200 8.854 Å, 90.00 91.63 90.00°
Sites, in units of the cell vectors:
K 0.198 0.135 0.157
K 0.198 0.365 0.657
K 0.802 0.635 0.343
K 0.802 0.865 0.843
Cr 0.151 0.628 0.108
Cr 0.151 0.872 0.608
Cr 0.849 0.128 0.392
Cr 0.849 0.372 0.892
Cu 0.500 0.000 0.500
Cu 0.500 0.500 0.000
P 0.399 0.637 0.310
P 0.399 0.863 0.810
P 0.601 0.137 0.190
P 0.601 0.363 0.690
O 0.047 0.515 0.213
O 0.047 0.985 0.713
O 0.070 0.715 0.510
O 0.070 0.785 0.010
O 0.232 0.020 0.501
O 0.232 0.480 0.001
O 0.285 0.747 0.722
O 0.285 0.753 0.222
O 0.336 0.037 0.876
O 0.336 0.463 0.376
O 0.467 0.745 0.938
O 0.467 0.755 0.438
O 0.483 0.086 0.299
O 0.483 0.414 0.799
O 0.517 0.586 0.201
O 0.517 0.914 0.701
O 0.533 0.245 0.562
O 0.533 0.255 0.062
O 0.664 0.537 0.624
O 0.664 0.963 0.124
O 0.715 0.247 0.778
O 0.715 0.253 0.278
O 0.768 0.520 0.999
O 0.768 0.980 0.499
O 0.930 0.215 0.990
O 0.930 0.285 0.490
O 0.953 0.015 0.287
O 0.953 0.485 0.787